No. 1
{
  "formula": "Mg2Pa2Ni15",
  "functional": "GGA-PBE",
  "state": "optimized geometry",
  "cell": [[4.194, 2.421, 4.208], [-4.194, 2.421, 4.208], [0.000, -4.843, 4.208]],
  "species": ["Mg", "Mg", "Pa", "Pa", "Ni", "Ni", "Ni", "Ni", "Ni", "Ni", "Ni", "Ni", "Ni", "Ni", "Ni", "Ni", "Ni", "Ni", "Ni"],
  "frac_coords": [[0.123, 0.123, 0.123], [0.877, 0.877, 0.877], [0.384, 0.384, 0.384], [0.616, 0.616, 0.616], [0.000, 0.500, 0.500], [0.155, 0.155, 0.668], [0.155, 0.668, 0.155], [0.181, 0.500, 0.819], [0.181, 0.819, 0.500], [0.332, 0.845, 0.845], [0.500, 0.000, 0.500], [0.500, 0.181, 0.819], [0.500, 0.500, 0.000], [0.500, 0.819, 0.181], [0.668, 0.155, 0.155], [0.819, 0.181, 0.500], [0.819, 0.500, 0.181], [0.845, 0.332, 0.845], [0.845, 0.845, 0.332]],
  "delta_e_f_ev_per_fu": -2.71,
  "space_group": "No. 166",
  "crystal_system": "trigonal"
}



No. 2
{
  "formula": "Mg3PaNi8",
  "functional": "GGA-PBE",
  "state": "optimized geometry",
  "cell": [[2.443, 1.410, 7.985], [-2.443, 1.410, 7.985], [0.000, -2.820, 7.985]],
  "species": ["Mg", "Mg", "Mg", "Pa", "Ni", "Ni", "Ni", "Ni", "Ni", "Ni", "Ni", "Ni"],
  "frac_coords": [[0.000, 0.000, 0.000], [0.119, 0.119, 0.119], [0.635, 0.635, 0.635], [0.505, 0.505, 0.505], [0.066, 0.567, 0.567], [0.068, 0.068, 0.563], [0.068, 0.563, 0.068], [0.317, 0.317, 0.317], [0.563, 0.068, 0.068], [0.567, 0.066, 0.567], [0.567, 0.567, 0.066], [0.816, 0.816, 0.816]],
  "delta_e_f_ev_per_fu": -3.86,
  "space_group": "No. 160",
  "crystal_system": "trigonal"
}